Entry 1:
VASP calculation (PBE) on a geometry-optimized Sc5Sb4S structure.

Unit cell a=14.6573 b=14.6573 c=14.6573 alpha=163.96 beta=163.96 gamma=22.76
Fractional coordinates of all 10 atoms:
Sc: 0.0000 0.0000 0.0000
Sc: 0.2019 0.2019 0.0000
Sc: 0.4100 0.4100 0.0000
Sc: 0.5900 0.5900 0.0000
Sc: 0.7981 0.7981 0.0000
Sb: 0.0992 0.0992 0.0000
Sb: 0.3044 0.3044 0.0000
Sb: 0.6956 0.6956 0.0000
Sb: 0.9008 0.9008 0.0000
S: 0.5000 0.5000 0.0000

## Properties
The calculation puts the calculated volume at 24.0 A^3/atom. The value obtained for the total DFT energy (no corrections) is -6.312 eV/atom.


Entry 2:
VASP calculation (PBE) on a geometry-optimized Sc6SbS4 structure.

Unit cell a=6.3484 b=6.3484 c=18.7324 alpha=90.00 beta=90.00 gamma=145.43
Fractional coordinates of all 22 atoms:
Sc: 0.0000 0.0000 0.0000
Sc: 0.0000 0.0000 0.5000
Sc: 0.1519 0.8481 0.7500
Sc: 0.2729 0.7271 0.0868
Sc: 0.2729 0.7271 0.4132
Sc: 0.4590 0.5410 0.6588
Sc: 0.4590 0.5410 0.8412
Sc: 0.5410 0.4590 0.1588
Sc: 0.5410 0.4590 0.3412
Sc: 0.7271 0.2729 0.5868
Sc: 0.7271 0.2729 0.9132
Sc: 0.8481 0.1519 0.2500
Sb: 0.1665 0.8335 0.2500
Sb: 0.8335 0.1665 0.7500
S: 0.0916 0.9084 0.6228
S: 0.0916 0.9084 0.8772
S: 0.3610 0.6390 0.5399
S: 0.3610 0.6390 0.9601
S: 0.6390 0.3610 0.0399
S: 0.6390 0.3610 0.4601
S: 0.9084 0.0916 0.1228
S: 0.9084 0.0916 0.3772

## Properties
The calculation puts the calculated volume at 19.5 A^3/atom. The value obtained for the total DFT energy (no corrections) is -6.904 eV/atom.


Entry 3:
VASP calculation (PBE) on a geometry-optimized ScSb3S6 structure.

Unit cell a=11.2449 b=3.7636 c=11.8079 alpha=90.00 beta=100.53 gamma=90.00
Fractional coordinates of all 20 atoms:
Sc: 0.1816 0.2500 0.0262
Sc: 0.8184 0.7500 0.9738
Sb: 0.0197 0.7500 0.2801
Sb: 0.3360 0.2500 0.4095
Sb: 0.4149 0.7500 0.8432
Sb: 0.5851 0.2500 0.1568
Sb: 0.6640 0.7500 0.5905
Sb: 0.9803 0.2500 0.7199
S: 0.0413 0.7500 0.9044
S: 0.1152 0.2500 0.4309
S: 0.2074 0.7500 0.1969
S: 0.2605 0.2500 0.8052
S: 0.3709 0.7500 0.0410
S: 0.3759 0.7500 0.5556
S: 0.6241 0.2500 0.4444
S: 0.6291 0.2500 0.9590
S: 0.7395 0.7500 0.1948
S: 0.7926 0.2500 0.8031
S: 0.8848 0.7500 0.5691
S: 0.9587 0.2500 0.0956

## Properties
The calculation puts the calculated volume at 24.6 A^3/atom. The value obtained for the total DFT energy (no corrections) is -4.966 eV/atom. For the energy above the most stable polymorph in this dataset, the calculation gives 0.000 eV per atom.


Entry 4:
VASP calculation (PBE) on a geometry-optimized Sc5SbS4 structure.

Unit cell a=10.0637 b=10.0637 c=10.0637 alpha=158.43 beta=148.87 gamma=38.19
Fractional coordinates of all 10 atoms:
Sc: 0.0000 0.0000 0.0000
Sc: 0.1990 0.1990 0.0000
Sc: 0.3870 0.3870 0.0000
Sc: 0.6130 0.6130 0.0000
Sc: 0.8010 0.8010 0.0000
Sb: 0.5000 0.0000 0.5000
S: 0.1018 0.6018 0.5000
S: 0.2943 0.7943 0.5000
S: 0.7057 0.2057 0.5000
S: 0.8982 0.3982 0.5000

## Properties
The calculation puts the calculated volume at 19.3 A^3/atom. The value obtained for the total DFT energy (no corrections) is -6.854 eV/atom.


Entry 5:
VASP calculation (PBE) on a geometry-optimized Sc2SbS2 structure.

Unit cell a=7.6675 b=7.6675 c=3.3342 alpha=90.00 beta=90.00 gamma=90.00
Fractional coordinates of all 10 atoms:
Sc: 0.1518 0.3482 0.0000
Sc: 0.3482 0.8482 0.0000
Sc: 0.6518 0.1518 0.0000
Sc: 0.8482 0.6518 0.0000
Sb: 0.0000 0.0000 0.0000
Sb: 0.5000 0.5000 0.0000
S: 0.1349 0.6349 0.5000
S: 0.3651 0.1349 0.5000
S: 0.6349 0.8651 0.5000
S: 0.8651 0.3651 0.5000

## Properties
The calculation puts the calculated volume at 19.6 A^3/atom. The value obtained for the total DFT energy (no corrections) is -6.231 eV/atom. For the energy above the most stable polymorph in this dataset, the calculation gives 0.000 eV per atom.


Entry 6:
VASP calculation (PBE) on a geometry-optimized Sc2SbS2 structure.

Unit cell a=7.0926 b=7.0926 c=7.0926 alpha=145.06 beta=145.06 gamma=50.25
Fractional coordinates of all 5 atoms:
Sc: 0.1444 0.1444 0.0000
Sc: 0.8556 0.8556 0.0000
Sb: 0.5000 0.5000 0.0000
S: 0.2500 0.7500 0.5000
S: 0.7500 0.2500 0.5000

## Properties
The calculation puts the calculated volume at 23.3 A^3/atom. The value obtained for the total DFT energy (no corrections) is -6.073 eV/atom. For the energy above the most stable polymorph in this dataset, the calculation gives 0.158 eV per atom.


Entry 7:
VASP calculation (PBE) on a geometry-optimized ScSbS2 structure.

Unit cell a=8.5724 b=8.5724 c=8.5724 alpha=24.62 beta=24.62 gamma=24.62
Fractional coordinates of all 4 atoms:
Sc: 0.0000 0.0000 0.0000
Sb: 0.5000 0.5000 0.5000
S: 0.3915 0.3915 0.3915
S: 0.6085 0.6085 0.6085

## Properties
The calculation puts the calculated volume at 24.0 A^3/atom. The value obtained for the total DFT energy (no corrections) is -5.824 eV/atom.


Entry 8:
VASP calculation (PBE) on a geometry-optimized ScSb3S structure.

Unit cell a=5.4195 b=5.4195 c=5.4195 alpha=90.00 beta=90.00 gamma=90.00
Fractional coordinates of all 5 atoms:
Sc: 0.0000 0.0000 0.0000
Sb: 0.0000 0.0000 0.5000
Sb: 0.0000 0.5000 0.0000
Sb: 0.5000 0.0000 0.0000
S: 0.5000 0.5000 0.5000

## Properties
The calculation puts the calculated volume at 31.8 A^3/atom. The value obtained for the total DFT energy (no corrections) is -4.077 eV/atom. For the energy above the most stable polymorph in this dataset, the calculation gives 0.273 eV per atom.


Entry 9:
VASP calculation (PBE) on a geometry-optimized ScSbS2 structure.

Unit cell a=8.4458 b=8.4458 c=8.4458 alpha=26.57 beta=26.57 gamma=26.57
Fractional coordinates of all 4 atoms:
Sc: 0.0000 0.0000 0.0000
Sb: 0.5000 0.5000 0.5000
S: 0.1024 0.1024 0.1024
S: 0.8976 0.8976 0.8976

## Properties
The calculation puts the calculated volume at 26.6 A^3/atom. The value obtained for the total DFT energy (no corrections) is -4.974 eV/atom.


Entry 10:
VASP calculation (PBE) on a geometry-optimized Sc8SbS6 structure.

Unit cell a=9.6166 b=9.6166 c=3.6915 alpha=90.00 beta=90.00 gamma=120.00
Fractional coordinates of all 15 atoms:
Sc: 0.0353 0.6981 0.2567
Sc: 0.3019 0.3372 0.2567
Sc: 0.3333 0.6667 0.7452
Sc: 0.3372 0.0353 0.7433
Sc: 0.6628 0.9647 0.2567
Sc: 0.6667 0.3333 0.2548
Sc: 0.6981 0.6628 0.7433
Sc: 0.9647 0.3019 0.7433
Sb: 0.0000 0.0000 0.5000
S: 0.1355 0.4775 0.2460
S: 0.3420 0.8645 0.2460
S: 0.4775 0.3420 0.7540
S: 0.5225 0.6580 0.2460
S: 0.6580 0.1355 0.7540
S: 0.8645 0.5225 0.7540

## Properties
The calculation puts the calculated volume at 19.7 A^3/atom. The value obtained for the total DFT energy (no corrections) is -6.775 eV/atom.


Entry 11:
VASP calculation (PBE) on a geometry-optimized ScSbS2 structure.

Unit cell a=6.1337 b=6.1337 c=6.1337 alpha=107.84 beta=107.84 gamma=112.79
Fractional coordinates of all 8 atoms:
Sc: 0.0000 0.0000 0.0000
Sc: 0.7500 0.2500 0.5000
Sb: 0.2500 0.7500 0.5000
Sb: 0.5000 0.5000 0.0000
S: 0.0948 0.1250 0.4698
S: 0.3750 0.9052 0.0302
S: 0.6552 0.6250 0.5302
S: 0.8750 0.3448 0.9698

## Properties
The calculation puts the calculated volume at 22.1 A^3/atom. The value obtained for the total DFT energy (no corrections) is -5.427 eV/atom.


Entry 12:
VASP calculation (PBE) on a geometry-optimized Sc2Sb2S7 structure.

Unit cell a=9.0325 b=9.0325 c=9.0325 alpha=156.05 beta=69.01 gamma=116.38
Fractional coordinates of all 11 atoms:
Sc: 0.0000 0.0000 0.0000
Sc: 0.5648 0.0648 0.5000
Sb: 0.1165 0.3425 0.7740
Sb: 0.5685 0.3425 0.2260
S: 0.1001 0.6701 0.4299
S: 0.1456 0.9576 0.1879
S: 0.2402 0.6701 0.5701
S: 0.4234 0.5410 0.8824
S: 0.6587 0.5410 0.1176
S: 0.7697 0.9576 0.8121
S: 0.8167 0.3167 0.5000

## Properties
The calculation puts the calculated volume at 24.2 A^3/atom. The value obtained for the total DFT energy (no corrections) is -5.389 eV/atom.


| no. | formation energy (no corrections) (eV/atom) |
| --- | --- |
| 1 | -1.084 |
| 2 | -1.575 |
| 3 | -0.620 |
| 4 | -1.625 |
| 5 | -1.223 |
| 6 | -1.065 |
| 7 | -1.147 |
| 8 | 0.488 |
| 9 | -0.297 |
| 10 | -1.472 |
| 11 | -0.749 |
| 12 | -0.862 |